# 1
Ac2Ga6Pt3 after structural relaxation. Source: the Alexandria database, functional GGA-PBE.

Cell lengths 7.8640, 7.8640, 4.3895 Å; angles 90.00, 90.00, 120.00 degrees
Last column: nearest neighbours and their distance in Å.
Fractional coordinates of all 11 atoms:
Ac: 0.3333 0.6667 0.0000  9 Ga 3.33-3.51, 6 Pt 3.33
Ac: 0.6667 0.3333 0.0000  9 Ga 3.33-3.51, 6 Pt 3.33
Ga: 0.0000 0.1903 0.0000  2 Pt 2.58, 2 Ga 2.59
Ga: 0.0000 0.6946 0.5000  3 Pt 2.60-2.66
Ga: 0.1903 0.0000 0.0000  2 Pt 2.58, 2 Ga 2.59
Ga: 0.3054 0.3054 0.5000  3 Pt 2.60-2.66
Ga: 0.6946 0.0000 0.5000  3 Pt 2.60-2.66
Ga: 0.8097 0.8097 0.0000  2 Pt 2.58, 2 Ga 2.59
Pt: 0.0000 0.3636 0.5000  5 Ga 2.58-2.66
Pt: 0.3636 0.0000 0.5000  5 Ga 2.58-2.66
Pt: 0.6364 0.6364 0.5000  5 Ga 2.58-2.66

Output
Energy relative to the elements, eV per atom: -0.792
Magnetic moment, Bohr magnetons per cell: 0.00
Calculated density, g/cm3: 10.30
E_tot, eV/atom: -4.837

---

# 2
SrLiBi2Se4 after structural relaxation. Source: the Alexandria database, functional GGA-PBE.

Cell lengths 7.1952, 7.1952, 14.3011 Å; angles 90.00, 90.00, 143.24 degrees
Last column: nearest neighbours and their distance in Å.
Fractional coordinates of all 16 atoms:
Sr: 0.1248 0.8752 0.7500  6 Se 3.20-3.28, 1 Li 3.57
Sr: 0.8752 0.1248 0.2500  6 Se 3.20-3.28, 1 Li 3.57
Li: 0.1365 0.8635 0.2500  4 Se 2.58-2.62
Li: 0.8635 0.1365 0.7500  4 Se 2.58-2.62
Bi: 0.3729 0.6271 0.5547  6 Se 2.88-3.12
Bi: 0.3729 0.6271 0.9453  6 Se 2.88-3.12
Bi: 0.6271 0.3729 0.0547  6 Se 2.88-3.12
Bi: 0.6271 0.3729 0.4453  6 Se 2.88-3.12
Se: 0.0000 0.0000 0.0000  4 Bi 2.96
Se: 0.0000 0.0000 0.5000  4 Bi 2.96
Se: 0.2680 0.7320 0.1202  1 Li 2.58, 1 Bi 2.88
Se: 0.2680 0.7320 0.3798  1 Li 2.58, 1 Bi 2.88
Se: 0.4591 0.5409 0.7500  2 Li 2.62
Se: 0.5409 0.4591 0.2500  2 Li 2.62
Se: 0.7320 0.2680 0.6202  1 Li 2.58, 1 Bi 2.88
Se: 0.7320 0.2680 0.8798  1 Li 2.58, 1 Bi 2.88

Output
Formation energy from raw total energies, eV/f.u.: -6.97
Magnetic moment, Bohr magnetons per cell: 0.00
Calculated density, g/cm3: 6.21
E_tot, eV/atom: -4.033

---

# 3
AcTb3Dy4 after structural relaxation. Source: the Alexandria database, functional GGA-PBE.

Cell lengths 8.9513, 8.9513, 3.4606 Å; angles 90.00, 90.00, 96.89 degrees
Last column: nearest neighbours and their distance in Å.
Fractional coordinates of all 8 atoms:
Ac: 0.0000 0.0000 0.0000  2 Ac 3.46, 6 Dy 3.49-3.57
Tb: 0.0000 0.5000 0.5000  6 Dy 3.35-3.44, 2 Tb 3.46
Tb: 0.5000 0.0000 0.5000  6 Dy 3.35-3.44, 2 Tb 3.46
Tb: 0.5000 0.5000 0.0000  6 Dy 3.21-3.30, 2 Tb 3.46
Dy: 0.2604 0.7396 0.0000  5 Tb 3.21-3.44, 2 Dy 3.46, 1 Ac 3.49
Dy: 0.2631 0.2631 0.5000  4 Tb 3.30-3.35, 2 Dy 3.46, 2 Ac 3.57
Dy: 0.7369 0.7369 0.5000  4 Tb 3.30-3.35, 2 Dy 3.46, 2 Ac 3.57
Dy: 0.7396 0.2604 0.0000  5 Tb 3.21-3.44, 2 Dy 3.46, 1 Ac 3.49

Output
Energy relative to the elements, eV per atom: 0.444
E above lowest polymorph, meV/atom: 280.8
Magnetic moment, Bohr magnetons per cell: 2.50
Calculated density, g/cm3: 8.17
E_tot, eV/atom: -4.107

---

# 4
CrRh2Au after structural relaxation. Source: the Alexandria database, functional GGA-PBE.

Cell lengths 5.5640, 5.5640, 5.5640 Å; angles 103.43, 103.43, 122.37 degrees
Last column: nearest neighbours and their distance in Å.
Fractional coordinates of all 8 atoms:
Cr: 0.0000 0.0000 0.0000  4 Rh 2.30
Cr: 0.7500 0.2500 0.5000  4 Rh 2.30
Rh: 0.0745 0.6250 0.9495  2 Cr 2.30
Rh: 0.3750 0.3245 0.4495  2 Cr 2.30
Rh: 0.6755 0.1250 0.0505  2 Cr 2.30
Rh: 0.8750 0.9255 0.5505  2 Cr 2.30
Au: 0.2500 0.7500 0.5000  2 Cr 2.68, 8 Rh 2.78-2.98
Au: 0.5000 0.5000 0.0000  2 Cr 2.68, 8 Rh 2.78-2.98

Output
Energy relative to the elements, eV per atom: 0.317
Magnetic moment, Bohr magnetons per cell: 1.78
Calculated density, g/cm3: 11.85
E_tot, eV/atom: -6.584